No. 1
Ca2HoPb3 | PBE-GGA | optimized geometry

a b c (Å): 5.066 15.339 9.062
angles (deg): 90.00 90.00 90.00
Space group Cmmm (No. 65)
Asymmetric unit:
Ca: 0.000 0.000 0.000 (multiplicity 2)
Ca: 0.000 0.000 0.500 (multiplicity 2)
Ca: 0.000 0.335 0.000 (multiplicity 4)
Ho: 0.000 0.334 0.500 (multiplicity 4)
Pb: 0.000 0.169 0.255 (multiplicity 8)
Pb: 0.000 0.500 0.255 (multiplicity 4)

Output
E_tot   -3.765 eV/atom
Calculated density   8.18 Mg/m³
Magnetic moment   0.000 μB per cell

=====

No. 2
Ca4HoPb15 | PBE-GGA | optimized geometry

a b c (Å): 4.912 4.912 24.781
angles (deg): 90.00 90.00 90.00
Space group P4/mmm (No. 123)
Asymmetric unit:
Ca: 0.000 0.000 0.100 (multiplicity 2)
Ca: 0.000 0.000 0.302 (multiplicity 2)
Ho: 0.000 0.000 0.500 (multiplicity 1)
Pb: 0.000 0.500 0.000 (multiplicity 2)
Pb: 0.000 0.500 0.201 (multiplicity 4)
Pb: 0.000 0.500 0.402 (multiplicity 4)
Pb: 0.500 0.500 0.101 (multiplicity 2)
Pb: 0.500 0.500 0.302 (multiplicity 2)
Pb: 0.500 0.500 0.500 (multiplicity 1)

Output
E_tot   -3.716 eV/atom
Calculated density   9.54 Mg/m³
Magnetic moment   0.000 μB per cell

=====

No. 3
CaHoPb | PBE-GGA | optimized geometry

a b c (Å): 4.840 4.840 8.313
angles (deg): 90.00 90.00 90.00
Space group P4/nmm (No. 129, origin choice 2)
Asymmetric unit:
Ca: 0.250 0.250 0.148 (multiplicity 2)
Ho: 0.250 0.750 0.500 (multiplicity 2)
Pb: 0.250 0.250 0.756 (multiplicity 2)

Output
E_tot   -3.842 eV/atom
Calculated density   7.03 Mg/m³
Magnetic moment   2.000 μB per cell

=====

No. 4
CaHoPb2 | PBE-GGA | optimized geometry

a b c (Å): 3.566 3.566 9.091
angles (deg): 90.00 90.00 90.00
Space group P4/mmm (No. 123)
Asymmetric unit:
Ca: 0.000 0.000 0.000 (multiplicity 1)
Ho: 0.000 0.000 0.500 (multiplicity 1)
Pb: 0.500 0.500 0.256 (multiplicity 2)

Output
E_tot   -3.973 eV/atom
Calculated density   8.90 Mg/m³
Magnetic moment   0.000 μB per cell

=====

No. 5
CaHoPb2 | PBE-GGA | optimized geometry

a b c (Å): 5.164 5.164 4.367
angles (deg): 90.00 90.00 90.00
Space group P4/mmm (No. 123)
Asymmetric unit:
Ca: 0.000 0.000 0.000 (multiplicity 1)
Ho: 0.500 0.500 0.000 (multiplicity 1)
Pb: 0.000 0.500 0.500 (multiplicity 2)

Output
E_tot   -3.934 eV/atom
Calculated density   8.83 Mg/m³
Magnetic moment   0.000 μB per cell

=====

No. 6
Ca2HoPb | PBE-GGA | optimized geometry

a b c (Å): 3.6326 3.6326 37.4771
angles (deg): 90.00 90.00 120.00
Space group R-3m (No. 166, hexagonal axes)
Asymmetric unit:
Ca: 0.0000 0.0000 0.0867 (multiplicity 6)
Ho: 0.0000 0.0000 0.5000 (multiplicity 3)
Pb: 0.0000 0.0000 0.0000 (multiplicity 3)

Output
E_tot   -3.003 eV/atom
Calculated density   5.26 Mg/m³
Magnetic moment   0.002 μB per cell
Energy above the most stable polymorph in this dataset   1.369 eV per formula unit

=====

No. 7
CaHoPb6 | PBE-GGA | optimized geometry

a b c (Å): 4.881 4.881 9.890
angles (deg): 90.00 90.00 90.00
Space group P4/mmm (No. 123)
Asymmetric unit:
Ca: 0.000 0.000 0.000 (multiplicity 1)
Ho: 0.000 0.000 0.500 (multiplicity 1)
Pb: 0.000 0.500 0.252 (multiplicity 4)
Pb: 0.500 0.500 0.000 (multiplicity 1)
Pb: 0.500 0.500 0.500 (multiplicity 1)

Output
E_tot   -3.899 eV/atom
Calculated density   10.21 Mg/m³
Magnetic moment   0.000 μB per cell

=====

No. 8
CaHoPb2 | PBE-GGA | optimized geometry

a b c (Å): 4.8151 4.8151 19.9951
angles (deg): 90.00 90.00 120.00
Space group R3m (No. 160, hexagonal axes)
Asymmetric unit:
Ca: 0.0000 0.0000 0.0000 (multiplicity 3)
Ho: 0.0000 0.0000 0.1834 (multiplicity 3)
Pb: 0.0000 0.0000 0.5904 (multiplicity 3)
Pb: 0.0000 0.0000 0.7623 (multiplicity 3)

Output
E_tot   -3.799 eV/atom
Calculated density   7.69 Mg/m³
Magnetic moment   0.000 μB per cell

=====

- Look up the calculated density of the fifth one.
  8.83 Mg/m³

=====

- Look up the calculated density of the fourth one.
  8.90 Mg/m³